11
Lattice="3.6827 -6.4138 0.0000 3.6827 6.4138 0.0000 -2.2905 0.0000 8.4705" Properties=species:S:1:pos:R:3 comment="Cs2Np2SnSe6, relaxed, DFT GGA-PBE" crystal_system=monoclinic raw_formation_energy_ev_per_atom=-1.084 space_group=C2/m energy_ev_per_cell=-64.4 pbc="T T T"
Cs 3.6827 4.3611 0.0000
Cs 3.6827 -4.3611 0.0000
Np 2.5375 2.1300 4.2353
Np 2.5375 -2.1300 4.2353
Sn -1.1453 0.0000 4.2353
Se 0.1476 2.2667 5.7599
Se 1.4617 0.0000 2.6966
Se 0.1476 -2.2667 5.7599
Se 4.9274 2.2667 2.7106
Se 3.6132 0.0000 5.7739
Se 4.9274 -2.2667 2.7106